The following is a meta-GGA SCAN calculation of a crystal of Mn2TcRu relaxed with PBEsol, from the Alexandria database.

a b c (Å): 2.6069 3.5745 5.2279
angles (deg): 90.00 90.00 90.00
Space group Pmmm (No. 47)
Unique sites:
Mn (0.0000, 0.0000, 0.2467) [2 per cell]
Tc (0.5000, 0.5000, 0.5000) [1 per cell]
Ru (0.5000, 0.5000, 0.0000) [1 per cell]

uncorrected energy = -26.53 eV per atom
magnetization = 3.0 μB per formula unit
ΔE_f = 0.27 eV/f.u.
V = 48.7 Å³ per cell

---

The following is a meta-GGA SCAN calculation of a crystal of AlAsPb relaxed with PBEsol, from the Alexandria database.

a b c (Å): 3.5001 3.5001 11.0388
angles (deg): 90.00 90.00 90.00
Space group I4mm (No. 107)
Unique sites:
Al (0.0000, 0.0000, 0.0000) [2 per cell]
As (0.0000, 0.0000, 0.4250) [2 per cell]
Pb (0.0000, 0.0000, 0.6962) [2 per cell]

uncorrected energy = -34.52 eV per atom
magnetization = 0.0 μB per formula unit
ΔE_f = 0.15 eV/f.u.
excess energy over the best structure of this formula in the dataset = 126 meV per atom
V = 135.2 Å³ per cell

---

The following is a meta-GGA SCAN calculation of a crystal of Al3Ag4 relaxed with PBEsol, from the Alexandria database.

a b c (Å): 2.8762 2.8762 27.4679
angles (deg): 90.00 90.00 90.00
Space group I4mm (No. 107)
Unique sites:
Al (0.0000, 0.0000, 0.0000) [2 per cell]
Al (0.0000, 0.0000, 0.1415) [2 per cell]
Al (0.0000, 0.0000, 0.4277) [2 per cell]
Ag (0.0000, 0.0000, 0.2839) [2 per cell]
Ag (0.0000, 0.0000, 0.5720) [2 per cell]
Ag (0.0000, 0.0000, 0.7091) [2 per cell]
Ag (0.0000, 0.0000, 0.8585) [2 per cell]

uncorrected energy = -21.29 eV per atom
magnetization = 0.0 μB per formula unit
ΔE_f = -0.27 eV/f.u.
excess energy over the best structure of this formula in the dataset = 63 meV per atom
V = 227.2 Å³ per cell

---

The following is a meta-GGA SCAN calculation of a crystal of RuAu3S relaxed with PBEsol, from the Alexandria database.

a b c (Å): 4.5330 4.5330 4.5330
angles (deg): 90.00 90.00 90.00
Space group Pm-3m (No. 221)
Unique sites:
Ru (0.0000, 0.0000, 0.0000) [1 per cell]
Au (0.0000, 0.5000, 0.5000) [3 per cell]
S (0.5000, 0.5000, 0.5000) [1 per cell]

energy relative to the elements, uncorrected = 1.03 eV/atom
uncorrected energy = -49.35 eV per atom
magnetization = 1.4 μB per formula unit
V = 93.1 Å³ per cell

---

The following is a meta-GGA SCAN calculation of a crystal of GaGeH3 relaxed with PBEsol, from the Alexandria database.

a b c (Å): 3.6612 3.6612 3.6612
angles (deg): 90.00 90.00 90.00
Space group Pm-3m (No. 221)
Unique sites:
Ga (0.0000, 0.0000, 0.0000) [1 per cell]
Ge (0.5000, 0.5000, 0.5000) [1 per cell]
H (0.0000, 0.0000, 0.5000) [3 per cell]

uncorrected energy = -8.47 eV per atom
magnetization = 0.0 μB per formula unit
V = 49.1 Å³ per cell

---

The following is a meta-GGA SCAN calculation of a crystal of Mn2Be relaxed with PBEsol, from the Alexandria database.

a b c (Å): 8.5470 2.6668 5.1938
angles (deg): 90.00 107.99 90.00
Space group C2/m (No. 12)
Unique sites:
Mn (0.0042, 0.0000, 0.2188) [4 per cell]
Mn (0.1543, 0.5000, 0.5733) [4 per cell]
Be (0.1885, 0.5000, 0.0937) [4 per cell]

uncorrected energy = -13.67 eV per atom
magnetization = 0.4 μB per formula unit
ΔE_f = -0.14 eV/f.u.
V = 112.6 Å³ per cell

---

The following is a meta-GGA SCAN calculation of a crystal of LiFeSe relaxed with PBEsol, from the Alexandria database.

a b c (Å): 5.6380 5.6380 5.6380
angles (deg): 90.00 90.00 90.00
Space group F-43m (No. 216)
Unique sites:
Li (0.0000, 0.0000, 0.0000) [4 per cell]
Fe (0.2500, 0.2500, 0.7500) [4 per cell]
Se (0.2500, 0.2500, 0.2500) [4 per cell]

energy relative to the elements, uncorrected = -0.01 eV/atom
uncorrected energy = -13.54 eV per atom
magnetization = 3.1 μB per formula unit
V = 179.2 Å³ per cell

---

The following is a meta-GGA SCAN calculation of a crystal of NdSiNi4 relaxed with PBEsol, from the Alexandria database.

a b c (Å): 5.0879 8.1678 3.9153
angles (deg): 90.00 90.00 90.00
Space group Cmmm (No. 65)
Unique sites:
Nd (0.0000, 0.0000, 0.0000) [2 per cell]
Si (0.0000, 0.5000, 0.5000) [2 per cell]
Ni (0.0000, 0.3414, 0.0000) [4 per cell]
Ni (0.2500, 0.2500, 0.5000) [4 per cell]

energy relative to the elements, uncorrected = -0.54 eV/atom
uncorrected energy = -20.25 eV per atom
magnetization = 0.0 μB per formula unit
V = 162.7 Å³ per cell

---

The following is a meta-GGA SCAN calculation of a crystal of Pr2W2O9 relaxed with PBEsol, from the Alexandria database.

a b c (Å): 7.6738 9.8833 9.2552
angles (deg): 90.00 107.38 90.00
Space group P2_1/c (No. 14)
Unique sites:
Pr (0.2168, 0.0477, 0.4272) [4 per cell]
Pr (0.2729, 0.0518, 0.8476) [4 per cell]
W (0.0764, 0.7278, 0.4645) [4 per cell]
W (0.4290, 0.7496, 0.2607) [4 per cell]
O (0.0046, 0.0970, 0.1766) [4 per cell]
O (0.0533, 0.1047, 0.6078) [4 per cell]
O (0.0874, 0.2097, 0.9272) [4 per cell]
O (0.2367, 0.6349, 0.1394) [4 per cell]
O (0.2417, 0.6882, 0.8591) [4 per cell]
O (0.2737, 0.6225, 0.5773) [4 per cell]
O (0.3998, 0.2186, 0.3397) [4 per cell]
O (0.4527, 0.0893, 0.6588) [4 per cell]
O (0.4886, 0.1211, 0.0958) [4 per cell]

energy relative to the elements, uncorrected = -2.97 eV/atom
uncorrected energy = -24.67 eV per atom
magnetization = 0.0 μB per formula unit
V = 669.9 Å³ per cell

---

The following is a meta-GGA SCAN calculation of a crystal of Cu relaxed with PBEsol, from the Alexandria database.

a b c (Å): 2.5217 2.5217 4.1003
angles (deg): 90.00 90.00 120.00
Space group P6_3/mmc (No. 194)
Unique sites:
Cu (0.3333, 0.6667, 0.2500) [2 per cell]

uncorrected energy = -15.19 eV per atom
magnetization = 0.0 μB per formula unit
ΔE_f = 0.01 eV/f.u.
excess energy over the best structure of this formula in the dataset = 13 meV per atom
V = 22.6 Å³ per cell

---

The following is a meta-GGA SCAN calculation of a crystal of KBe2Se relaxed with PBEsol, from the Alexandria database.

a b c (Å): 3.2578 3.2578 7.2836
angles (deg): 90.00 90.00 90.00
Space group P4/mmm (No. 123)
Unique sites:
K (0.0000, 0.0000, 0.0000) [1 per cell]
Be (0.5000, 0.5000, 0.3550) [2 per cell]
Se (0.0000, 0.0000, 0.5000) [1 per cell]

energy relative to the elements, uncorrected = 0.54 eV/atom
uncorrected energy = -8.74 eV per atom
magnetization = 0.0 μB per formula unit
V = 77.3 Å³ per cell

---

The following is a meta-GGA SCAN calculation of a crystal of Li4Ti3V5O16 relaxed with PBEsol, from the Alexandria database.

a b c (Å): 9.9983 5.7831 9.4753
angles (deg): 90.00 90.41 90.00
Space group Cm (No. 8)
Unique sites:
Li (0.0000, 0.0000, 0.0000) [2 per cell]
Li (0.0027, 0.0000, 0.5046) [2 per cell]
Li (0.1768, 0.5000, 0.9009) [2 per cell]
Li (0.3418, 0.0000, 0.4007) [2 per cell]
Ti (0.0953, 0.2530, 0.2239) [4 per cell]
Ti (0.1760, 0.0000, 0.7265) [2 per cell]
V (0.1767, 0.5000, 0.4975) [2 per cell]
V (0.3358, 0.5000, 0.2163) [2 per cell]
V (0.3444, 0.0000, 0.9942) [2 per cell]
V (0.4227, 0.2350, 0.7172) [4 per cell]
O (0.0031, 0.0000, 0.8144) [2 per cell]
O (0.0064, 0.0000, 0.3190) [2 per cell]
O (0.0271, 0.5000, 0.3465) [2 per cell]
O (0.0887, 0.2545, 0.6068) [4 per cell]
O (0.1675, 0.5000, 0.1059) [2 per cell]
O (0.1701, 0.0000, 0.1065) [2 per cell]
O (0.2480, 0.2794, 0.3487) [4 per cell]
O (0.2674, 0.2192, 0.8484) [4 per cell]
O (0.3352, 0.0000, 0.6030) [2 per cell]
O (0.3381, 0.5000, 0.6108) [2 per cell]
O (0.4175, 0.2502, 0.1077) [4 per cell]
O (0.4899, 0.0000, 0.8484) [2 per cell]

energy relative to the elements, uncorrected = -2.82 eV/atom
uncorrected energy = -11.56 eV per atom
magnetization = 9.0 μB per formula unit
V = 547.9 Å³ per cell

---

The following is a meta-GGA SCAN calculation of a crystal of TlGaAs2Br relaxed with PBEsol, from the Alexandria database.

a b c (Å): 4.8788 4.8788 5.4644
angles (deg): 90.00 90.00 90.00
Space group P4/mmm (No. 123)
Unique sites:
Tl (0.0000, 0.0000, 0.0000) [1 per cell]
Ga (0.5000, 0.5000, 0.5000) [1 per cell]
As (0.0000, 0.5000, 0.5000) [2 per cell]
Br (0.5000, 0.5000, 0.0000) [1 per cell]

energy relative to the elements, uncorrected = 0.21 eV/atom
uncorrected energy = -29.50 eV per atom
magnetization = 1.2 μB per formula unit
V = 130.1 Å³ per cell

---

The following is a meta-GGA SCAN calculation of a crystal of Mn24Pt5 relaxed with PBEsol, from the Alexandria database.

a b c (Å): 8.6454 8.6454 8.6454
angles (deg): 90.00 90.00 90.00
Space group I-43m (No. 217)
Unique sites:
Mn (0.0243, 0.3556, 0.6444) [24 per cell]
Mn (0.0902, 0.0902, 0.7144) [24 per cell]
Pt (0.0000, 0.0000, 0.0000) [2 per cell]
Pt (0.1840, 0.1840, 0.1840) [8 per cell]

uncorrected energy = -27.19 eV per atom
magnetization = 0.0 μB per formula unit
ΔE_f = 0.71 eV/f.u.
V = 646.2 Å³ per cell

---

The following is a meta-GGA SCAN calculation of a crystal of HfMgSiAg2 relaxed with PBEsol, from the Alexandria database.

a b c (Å): 4.6647 4.6647 4.9236
angles (deg): 90.00 90.00 90.00
Space group P4/mmm (No. 123)
Unique sites:
Hf (0.0000, 0.0000, 0.0000) [1 per cell]
Mg (0.5000, 0.5000, 0.0000) [1 per cell]
Si (0.0000, 0.0000, 0.5000) [1 per cell]
Ag (0.0000, 0.5000, 0.5000) [2 per cell]

energy relative to the elements, uncorrected = 0.33 eV/atom
uncorrected energy = -27.75 eV per atom
magnetization = 0.0 μB per formula unit
V = 107.1 Å³ per cell

---

The following is a meta-GGA SCAN calculation of a crystal of Mg2SiRh2 relaxed with PBEsol, from the Alexandria database.

a b c (Å): 6.0711 6.0711 4.2936
angles (deg): 90.00 90.00 90.00
Space group P4/mbm (No. 127)
Unique sites:
Mg (0.1648, 0.3352, 0.0000) [4 per cell]
Si (0.0000, 0.0000, 0.5000) [2 per cell]
Rh (0.1517, 0.6517, 0.5000) [4 per cell]

energy relative to the elements, uncorrected = -0.76 eV/atom
uncorrected energy = -18.27 eV per atom
magnetization = 0.0 μB per formula unit
V = 158.3 Å³ per cell

---

The following is a meta-GGA SCAN calculation of a crystal of CdGe3H relaxed with PBEsol, from the Alexandria database.

a b c (Å): 5.0853 5.0853 5.0853
angles (deg): 90.00 90.00 90.00
Space group Pm-3m (No. 221)
Unique sites:
Cd (0.0000, 0.0000, 0.0000) [1 per cell]
Ge (0.0000, 0.0000, 0.5000) [3 per cell]
H (0.5000, 0.5000, 0.5000) [1 per cell]

uncorrected energy = -16.80 eV per atom
magnetization = 0.6 μB per formula unit
V = 131.5 Å³ per cell

---

The following is a meta-GGA SCAN calculation of a crystal of RbTe3Mo3 relaxed with PBEsol, from the Alexandria database.

a b c (Å): 9.7995 9.7995 4.5653
angles (deg): 90.00 90.00 120.00
Space group P6_3/m (No. 176)
Unique sites:
Rb (0.3333, 0.6667, 0.2500) [2 per cell]
Te (0.0544, 0.7007, 0.7500) [6 per cell]
Mo (0.0259, 0.8594, 0.2500) [6 per cell]

energy relative to the elements, uncorrected = -0.56 eV/atom
uncorrected energy = -34.44 eV per atom
magnetization = 0.0 μB per formula unit
V = 379.7 Å³ per cell

---

The following is a meta-GGA SCAN calculation of a crystal of ScCdAg4 relaxed with PBEsol, from the Alexandria database.

a b c (Å): 7.6094 7.6094 7.6094
angles (deg): 90.00 90.00 90.00
Space group F-43m (No. 216)
Unique sites:
Sc (0.0000, 0.0000, 0.0000) [4 per cell]
Cd (0.2500, 0.2500, 0.7500) [4 per cell]
Ag (0.1249, 0.1249, 0.3751) [16 per cell]

uncorrected energy = -28.47 eV per atom
magnetization = 0.0 μB per formula unit
ΔE_f = -0.69 eV/f.u.
V = 440.6 Å³ per cell

---

The following is a meta-GGA SCAN calculation of a crystal of LaTa2FeS relaxed with PBEsol, from the Alexandria database.

a b c (Å): 5.0007 5.0007 4.1486
angles (deg): 90.00 90.00 90.00
Space group P4/mmm (No. 123)
Unique sites:
La (0.0000, 0.0000, 0.0000) [1 per cell]
Ta (0.0000, 0.5000, 0.0000) [2 per cell]
Fe (0.0000, 0.0000, 0.5000) [1 per cell]
S (0.5000, 0.5000, 0.5000) [1 per cell]

energy relative to the elements, uncorrected = 2.48 eV/atom
uncorrected energy = -38.33 eV per atom
magnetization = 0.0 μB per formula unit
V = 103.7 Å³ per cell